[1]
## K2SrAuSe (GGA-PBE)

Data for crystalline K2SrAuSe at its relaxed geometry.

abc: 6.3225 6.3225 5.2931
angles: 90.00 90.00 90.00
Closest atoms and distances in Å follow each position.
Fractional coordinates of all 5 atoms:
K (0.0000, 0.5000, 0.0000)  2 Au 3.16
K (0.5000, 0.0000, 0.0000)  2 Au 3.16
Sr (0.0000, 0.0000, 0.5000)  8 K 4.12, 4 Se 4.47
Au (0.5000, 0.5000, 0.0000)  2 Se 2.65
Se (0.5000, 0.5000, 0.5000)  2 Au 2.65

## Properties
crystal system: tetragonal
E_form (uncorrected): -1.0 eV per formula unit

[2]
## Tm6InCo2 (GGA-PBE)

Data for crystalline Tm6InCo2 at its relaxed geometry.

abc: 8.2594 8.2594 8.2594
angles: 111.53 110.23 106.69
Closest atoms and distances in Å follow each position.
Fractional coordinates of all 18 atoms:
Tm (0.0192, 0.2319, 0.7873)  1 Co 2.77, 1 In 3.04
Tm (0.1878, 0.2883, 0.4761)  2 Co 2.88, 1 In 3.21
Tm (0.1878, 0.7117, 0.8995)  2 Co 2.88, 1 In 3.21
Tm (0.3148, 0.0128, 0.6979)  3 Co 2.71-2.84
Tm (0.3148, 0.6169, 0.3021)  3 Co 2.71-2.84
Tm (0.4447, 0.2319, 0.2127)  1 Co 2.77, 1 In 3.04
Tm (0.5553, 0.7681, 0.7873)  1 Co 2.77, 1 In 3.04
Tm (0.6852, 0.3831, 0.6979)  3 Co 2.71-2.84
Tm (0.6852, 0.9872, 0.3021)  3 Co 2.71-2.84
Tm (0.8122, 0.2883, 0.1005)  2 Co 2.88, 1 In 3.21
Tm (0.8122, 0.7117, 0.5239)  2 Co 2.88, 1 In 3.21
Tm (0.9808, 0.7681, 0.2127)  1 Co 2.77, 1 In 3.04
In (0.0000, 0.0000, 0.0000)  8 Tm 3.04-3.21
In (0.5000, 0.5000, 0.0000)  12 Tm 3.32-3.55
Co (0.1132, 0.6132, 0.5000)  1 Co 2.23
Co (0.3778, 0.0000, 0.3778)  1 Co 2.31
Co (0.6222, 0.0000, 0.6222)  1 Co 2.31
Co (0.8868, 0.3868, 0.5000)  1 Co 2.23

## Properties
ΔH_f (0 K): -0.30 eV/atom
crystal system: orthorhombic

[3]
## TaTcRh2 (GGA-PBE)

Data for crystalline TaTcRh2 at its relaxed geometry.

abc: 6.2591 6.2591 6.2591
angles: 90.00 90.00 90.00
Closest atoms and distances in Å follow each position.
Fractional coordinates of all 16 atoms:
Ta (0.0000, 0.0000, 0.0000)  4 Tc 2.71, 4 Rh 2.71
Ta (0.0000, 0.5000, 0.5000)  4 Tc 2.71, 4 Rh 2.71
Ta (0.5000, 0.0000, 0.5000)  4 Tc 2.71, 4 Rh 2.71
Ta (0.5000, 0.5000, 0.0000)  4 Tc 2.71, 4 Rh 2.71
Tc (0.2500, 0.2500, 0.7500)  4 Ta 2.71, 4 Rh 2.71
Tc (0.2500, 0.7500, 0.2500)  4 Ta 2.71, 4 Rh 2.71
Tc (0.7500, 0.2500, 0.2500)  4 Ta 2.71, 4 Rh 2.71
Tc (0.7500, 0.7500, 0.7500)  4 Ta 2.71, 4 Rh 2.71
Rh (0.0000, 0.0000, 0.5000)  4 Rh 2.71, 4 Tc 2.71
Rh (0.0000, 0.5000, 0.0000)  4 Rh 2.71, 4 Tc 2.71
Rh (0.2500, 0.2500, 0.2500)  4 Ta 2.71, 4 Rh 2.71
Rh (0.2500, 0.7500, 0.7500)  4 Ta 2.71, 4 Rh 2.71
Rh (0.5000, 0.0000, 0.0000)  4 Rh 2.71, 4 Tc 2.71
Rh (0.5000, 0.5000, 0.5000)  4 Rh 2.71, 4 Tc 2.71
Rh (0.7500, 0.2500, 0.7500)  4 Ta 2.71, 4 Rh 2.71
Rh (0.7500, 0.7500, 0.2500)  4 Ta 2.71, 4 Rh 2.71

## Properties
energy above the most stable polymorph in this dataset: 310.2 meV/atom
ΔH_f (0 K): -0.09 eV/atom
crystal system: cubic